--- w ---
# LiSnP4O12

A crystal of LiSnP4O12 relaxed with PBEsol (SCAN, Alexandria via LeMat-Bulk). Values from VASP.

Properties
- spin magnetization (μB per cell) = 4.00
- SG = No. 14
- ρ (g/cm3) = 3.233

Structure (Quantum ESPRESSO input):
```
&SYSTEM
  ibrav = 0, nat = 72, ntyp = 4
/
ATOMIC_SPECIES
Li 6.94 Li.upf
Sn 118.71 Sn.upf
P 30.97 P.upf
O 16.00 O.upf
CELL_PARAMETERS angstrom
7.3109 0.0000 0.0000
0.0000 12.9922 0.0000
-6.7763 0.0000 9.5492
ATOMIC_POSITIONS angstrom
Li 0.8659 2.5999 0.8879
Li -2.5223 3.8962 5.6625
Li 3.0569 9.0960 3.8867
Li -0.3313 10.3923 8.6613
Sn -0.0159 9.3771 4.9212
Sn 3.3723 10.1113 0.1466
Sn -2.8377 2.8810 9.4026
Sn 0.5505 3.6151 4.6280
P -1.5160 1.4530 2.1870
P -4.9041 5.0431 6.9616
P -3.9624 7.8665 6.9115
P -0.5742 11.6218 2.1369
P 0.9275 8.2253 1.8749
P -2.4607 11.2631 6.6495
P -1.7808 1.1208 6.7907
P 1.6073 5.3753 2.0161
P -1.0727 7.6169 7.5331
P 2.3154 11.8714 2.7585
P 2.9953 1.7292 2.8997
P -0.3929 4.7669 7.6743
P 1.1088 1.3704 7.4123
P 4.4970 5.1257 2.6377
P 5.4387 7.9491 2.5876
P 2.0506 11.5392 7.3622
O -5.7582 1.7868 8.7586
O -2.3700 4.7093 3.9840
O -4.7510 6.5614 7.4072
O -1.3629 12.9269 2.6326
O -0.6445 8.3306 1.6336
O -4.0327 11.1577 6.4082
O -1.4499 8.0369 4.0370
O -4.8380 11.4514 8.8116
O -0.2872 2.2341 2.5597
O -3.6754 4.2621 7.3343
O -4.0931 8.8404 8.0515
O -0.7049 10.6479 3.2769
O 1.2922 6.7860 1.2884
O -2.0959 12.7023 6.0629
O 1.5270 9.2822 0.9952
O -1.8611 10.2061 5.7698
O -2.4669 7.2857 6.8339
O 0.9213 12.2027 2.0593
O -1.6643 2.1535 5.7284
O 1.7239 4.3426 0.9538
O -2.8094 1.3183 7.8858
O 0.5788 5.1778 3.1112
O 1.2531 8.2653 3.3499
O -2.1350 11.2230 8.1245
O 2.6696 1.7692 1.4247
O -0.7186 4.7269 6.1993
O -0.0442 7.8144 6.4380
O 3.3440 11.6739 1.6634
O -1.1893 8.6496 8.5954
O 2.1989 10.8387 3.8208
O -0.3867 0.7896 7.4899
O 3.0015 5.7065 2.7153
O 2.3957 2.7861 3.7794
O -0.9924 3.7100 8.5540
O 2.6305 0.2899 3.4862
O -0.7577 6.2062 8.2608
O 1.2395 2.3443 6.2723
O 4.6277 4.1518 1.4977
O 4.2100 8.7302 2.2149
O 0.8218 10.7582 6.9895
O 5.3726 1.5408 0.7376
O 1.9845 4.9553 5.5122
O 4.5672 1.8345 3.1410
O 1.1791 4.6616 7.9156
O 1.8975 0.0653 6.9165
O 5.2856 6.4308 2.1419
O 2.9046 8.2829 5.5652
O 6.2928 11.2054 0.7906
```

***

--- x ---
# LiSnP4O12

A crystal of LiSnP4O12 relaxed with PBEsol (SCAN, Alexandria via LeMat-Bulk). Values from VASP.

Properties
- spin magnetization (μB per cell) = 0.00
- SG = No. 12
- ρ (g/cm3) = 2.381

Structure (Quantum ESPRESSO input):
```
&SYSTEM
  ibrav = 0, nat = 36, ntyp = 4
/
ATOMIC_SPECIES
Li 6.94 Li.upf
Sn 118.71 Sn.upf
P 30.97 P.upf
O 16.00 O.upf
CELL_PARAMETERS angstrom
8.9790 -6.3394 0.0000
8.9790 6.3394 0.0000
-1.6465 0.0000 5.4106
ATOMIC_POSITIONS angstrom
Li 1.4306 0.0000 1.8611
Li 14.8809 0.0000 3.5495
Sn 4.4895 3.1697 0.0000
Sn 4.4895 -3.1697 0.0000
P 6.7317 3.4514 2.4731
P 4.5673 1.4427 2.9405
P 9.5798 3.4514 2.9375
P 4.5673 -1.4427 2.9405
P 11.7442 1.4427 2.4701
P 6.7317 -3.4514 2.4731
P 11.7442 -1.4427 2.4701
P 9.5798 -3.4514 2.9375
O 6.6318 4.7322 3.2018
O 6.4378 3.3816 0.9900
O 4.0017 1.6543 1.5513
O 3.5617 1.5799 4.0543
O 5.8154 2.3601 3.2444
O 9.6797 4.7322 2.2088
O 8.1557 2.7487 2.7053
O 5.2758 0.0000 3.0267
O 9.8736 3.3816 4.4206
O 4.0017 -1.6543 1.5513
O 3.5617 -1.5799 4.0543
O 10.4961 2.3601 2.1662
O 5.8154 -2.3601 3.2444
O 12.7498 1.5799 1.3563
O 12.3097 1.6543 3.8593
O 6.4378 -3.3816 0.9900
O 11.0357 0.0000 2.3840
O 8.1557 -2.7487 2.7053
O 6.6318 -4.7322 3.2018
O 10.4961 -2.3601 2.1662
O 12.7498 -1.5799 1.3563
O 12.3097 -1.6543 3.8593
O 9.8736 -3.3816 4.4206
O 9.6797 -4.7322 2.2088
```

***

--- y ---
# LiSnP4O12

A crystal of LiSnP4O12 relaxed with PBEsol (SCAN, Alexandria via LeMat-Bulk). Values from VASP.

Properties
- spin magnetization (μB per cell) = 4.00
- SG = No. 134
- ρ (g/cm3) = 3.546

Structure (Quantum ESPRESSO input):
```
&SYSTEM
  ibrav = 0, nat = 72, ntyp = 4
/
ATOMIC_SPECIES
Li 6.94 Li.upf
Sn 118.71 Sn.upf
P 30.97 P.upf
O 16.00 O.upf
CELL_PARAMETERS angstrom
9.4037 0.0000 0.0000
0.0000 9.4037 0.0000
0.0000 0.0000 9.3525
ATOMIC_POSITIONS angstrom
Li 0.0000 0.0000 0.0000
Li 0.0000 4.7019 4.6762
Li 4.7019 0.0000 4.6762
Li 4.7019 4.7019 0.0000
Sn 2.3509 2.3509 0.0000
Sn 2.3509 2.3509 4.6762
Sn 7.0528 7.0528 0.0000
Sn 7.0528 7.0528 4.6762
P 0.2420 7.0528 2.3381
P 0.3058 7.0528 7.0144
P 2.3509 4.9439 2.3381
P 2.3509 5.0077 7.0144
P 2.3509 9.0980 7.0144
P 2.3509 9.1617 2.3381
P 4.3961 7.0528 7.0144
P 4.4599 7.0528 2.3381
P 4.9439 2.3509 7.0144
P 5.0077 2.3509 2.3381
P 7.0528 0.2420 7.0144
P 7.0528 0.3058 2.3381
P 7.0528 4.3961 2.3381
P 7.0528 4.4599 7.0144
P 9.0980 2.3509 2.3381
P 9.1617 2.3509 7.0144
O 0.4228 1.6454 1.2250
O 0.4228 3.0565 3.4512
O 0.4873 1.7307 5.8631
O 0.4873 2.9712 8.1656
O 1.2596 5.9614 2.9827
O 1.2596 8.1442 1.6935
O 1.3063 6.0081 7.7130
O 1.3063 8.0975 6.3157
O 1.6454 0.4228 8.1274
O 1.6454 4.2791 5.9013
O 1.7307 0.4873 3.4894
O 1.7307 4.2146 1.1869
O 2.9712 0.4873 1.1869
O 2.9712 4.2146 3.4894
O 3.0565 0.4228 5.9013
O 3.0565 4.2791 8.1274
O 3.3956 6.0081 6.3157
O 3.3956 8.0975 7.7130
O 3.4423 5.9614 1.6935
O 3.4423 8.1442 2.9827
O 4.2146 1.7307 8.1656
O 4.2146 2.9712 5.8631
O 4.2791 1.6454 3.4512
O 4.2791 3.0565 1.2250
O 5.1246 6.3472 8.1274
O 5.1246 7.7584 5.9013
O 5.1892 6.4325 3.4894
O 5.1892 7.6731 1.1869
O 5.9614 1.2596 6.3698
O 5.9614 3.4423 7.6589
O 6.0081 1.3063 1.6394
O 6.0081 3.3956 3.0368
O 6.3472 5.1246 1.2250
O 6.3472 8.9810 3.4512
O 6.4325 5.1892 5.8631
O 6.4325 8.9164 8.1656
O 7.6731 5.1892 8.1656
O 7.6731 8.9164 5.8631
O 7.7584 5.1246 3.4512
O 7.7584 8.9810 1.2250
O 8.0975 1.3063 3.0368
O 8.0975 3.3956 1.6394
O 8.1442 1.2596 7.6589
O 8.1442 3.4423 6.3698
O 8.9164 6.4325 1.1869
O 8.9164 7.6731 3.4894
O 8.9810 6.3472 5.9013
O 8.9810 7.7584 8.1274
```

***

Most favorable structure: w. The second most favorable one is 0.9 kJ/mol of atoms above it.

***

--- w ---
# Li4SnP6O18

A crystal of Li4SnP6O18 relaxed with PBEsol (SCAN, Alexandria via LeMat-Bulk). Values from VASP.

Properties
- spin magnetization (μB per cell) = 0.00
- SG = No. 1
- ρ (g/cm3) = 3.053

Structure (Quantum ESPRESSO input):
```
&SYSTEM
  ibrav = 0, nat = 29, ntyp = 4
/
ATOMIC_SPECIES
Li 6.94 Li.upf
Sn 118.71 Sn.upf
P 30.97 P.upf
O 16.00 O.upf
CELL_PARAMETERS angstrom
7.2781 0.0000 0.0000
-1.0813 7.2870 0.0000
-2.1093 -3.2269 6.3624
ATOMIC_POSITIONS angstrom
Li 0.0000 0.0000 0.0000
Li -0.9591 1.4869 2.0114
Li 1.7882 -0.4887 2.7383
Li 3.0886 -0.9526 5.5108
Sn 4.0053 4.3727 2.9129
P -1.2760 -0.2458 4.7716
P -0.2740 4.3143 0.6830
P 0.1265 4.0555 4.3548
P 1.8189 2.3992 1.0310
P 3.1977 6.8333 0.6473
P 2.2019 2.1057 4.8372
O -1.9090 1.0505 5.4887
O -0.7075 0.1470 3.4601
O -0.4749 5.7346 1.0793
O -1.2201 3.8643 3.7350
O 0.8905 1.2425 1.2795
O -0.0765 -0.6209 5.7982
O 1.0757 3.7883 1.4105
O -0.0820 3.9452 5.9511
O 0.9335 2.6878 4.0308
O 2.0441 -2.0346 4.0463
O 3.1491 2.4115 1.7018
O 3.6328 -0.7654 1.9443
O 2.3931 0.6823 4.4775
O 3.7759 5.4447 0.0017
O 5.3792 0.5689 0.5429
O 3.3502 3.0932 4.6920
O 4.9990 -1.3884 4.8315
O 5.9190 3.2897 0.8740
```

***

--- x ---
# Li4SnP6O18

A crystal of Li4SnP6O18 relaxed with PBEsol (SCAN, Alexandria via LeMat-Bulk). Values from VASP.

Properties
- spin magnetization (μB per cell) = 0.00
- SG = No. 15
- ρ (g/cm3) = 2.863

Structure (Quantum ESPRESSO input):
```
&SYSTEM
  ibrav = 0, nat = 58, ntyp = 4
/
ATOMIC_SPECIES
Li 6.94 Li.upf
Sn 118.71 Sn.upf
P 30.97 P.upf
O 16.00 O.upf
CELL_PARAMETERS angstrom
5.9591 -4.2010 0.0000
5.9591 4.2010 0.0000
-0.9026 0.0000 14.3726
ATOMIC_POSITIONS angstrom
Li 1.5803 1.3182 6.3242
Li 1.1290 -1.3182 13.5105
Li 3.3831 0.0072 8.1540
Li 3.8344 -0.0072 0.9677
Li 7.1812 0.0072 13.4049
Li 7.6325 -0.0072 6.2186
Li 9.8866 1.3182 0.8621
Li 9.4353 -1.3182 8.0484
Sn 5.2822 1.4532 10.7795
Sn 5.7335 -1.4532 3.5932
P 2.0172 1.5242 10.5859
P 0.8397 0.0043 1.6495
P 0.3884 -0.0043 8.8358
P 4.7638 1.3723 5.6404
P 2.4685 -1.5242 3.3996
P 6.7032 1.3723 1.5459
P 4.3124 -1.3723 12.8268
P 8.5471 1.5242 10.9730
P 6.2519 -1.3723 8.7322
P 10.6273 0.0043 5.5368
P 10.1760 -0.0043 12.7232
P 8.9985 -1.5242 3.7867
O 2.3974 1.5882 12.0082
O 1.0703 0.2345 10.2900
O 5.3209 3.1146 9.0086
O 3.1262 1.5060 9.5414
O 5.2434 3.1146 12.5503
O 1.8864 0.0899 0.5864
O 5.4850 2.8140 5.7193
O 1.5216 -0.2345 3.1037
O 1.4351 -0.0899 7.7727
O 5.9820 2.8140 1.4670
O 4.0435 1.4604 4.1874
O 3.7015 1.2845 6.7045
O 5.6399 0.3323 1.6371
O 2.8488 -1.5882 4.8219
O 7.4235 1.4604 2.9989
O 5.8270 0.3323 5.5492
O 3.5775 -1.5060 2.3551
O 3.2502 -1.2845 13.8908
O 7.7654 1.2845 0.4818
O 7.4382 1.5060 12.0176
O 5.1886 -0.3323 8.8235
O 3.5922 -1.4604 11.3737
O 8.1669 1.5882 9.5507
O 5.3757 -0.3323 12.7355
O 7.3141 -1.2845 7.6682
O 6.9721 -1.4604 10.1852
O 5.0337 -2.8140 12.9056
O 9.5806 0.0899 6.5999
O 9.4940 0.2345 11.2690
O 5.5307 -2.8140 8.6533
O 9.1293 -0.0899 13.7862
O 5.7722 -3.1146 1.8223
O 7.8895 -1.5060 4.8313
O 5.6947 -3.1146 5.3640
O 9.9453 -0.2345 4.0827
O 8.6182 -1.5882 2.3644
```

***

Most favorable structure: w. The second most favorable one is 1.2 kJ/mol of atoms above it.